Entry 1:
DFT (PBE-GGA) results for a relaxed La3MgSc crystal.

Calculated values
Calculated formation energy ... 0.036 eV per atom
Excess energy over the best structure of this formula in the dataset ... 0 meV per atom
VASP energy ... -45.1 eV per cell

Cell: 3.611 7.165 12.418 Å, 81.55 98.36 90.00°
Sites, in units of the cell vectors:
Mg (0.607, 0.432, 0.214)
Mg (0.393, 0.568, 0.786)
La (0.601, 0.956, 0.203)
La (0.201, 0.659, 0.402)
La (0.994, 0.268, 0.988)
La (0.006, 0.732, 0.012)
La (0.399, 0.044, 0.797)
La (0.799, 0.341, 0.598)
Sc (0.202, 0.146, 0.405)
Sc (0.798, 0.854, 0.595)

Entry 2:
DFT (PBE-GGA) results for a relaxed ZnCrBiSe2 crystal.

Calculated values
VASP energy ... -20.6 eV per cell

Cell: 4.934 4.826 4.934 Å, 90.00 90.00 90.00°
Sites, in units of the cell vectors:
Zn (0.000, 0.500, 0.000)
Se (0.500, 0.000, 0.000)
Se (0.000, 0.000, 0.500)
Bi (0.500, 0.500, 0.500)
Cr (0.000, 0.000, 0.000)

Entry 3:
DFT (PBE-GGA) results for a relaxed YBePt3 crystal.

Calculated values
Calculated formation energy ... -0.935 eV per atom
Excess energy over the best structure of this formula in the dataset ... 22 meV per atom
VASP energy ... -66.0 eV per cell

Cell: 4.608 4.417 8.538 Å, 90.02 89.98 101.00°
Sites, in units of the cell vectors:
Pt (0.258, 0.362, 0.923)
Pt (0.697, 0.926, 0.953)
Pt (0.699, 0.926, 0.452)
Pt (0.259, 0.362, 0.481)
Pt (0.084, 0.059, 0.202)
Pt (0.306, 0.860, 0.702)
Be (0.171, 0.830, 0.432)
Be (0.169, 0.829, 0.971)
Y (0.759, 0.432, 0.702)
Y (0.669, 0.456, 0.202)

Repeat the third record exactly.
DFT (PBE-GGA) results for a relaxed YBePt3 crystal.

Calculated values
Calculated formation energy ... -0.935 eV per atom
Excess energy over the best structure of this formula in the dataset ... 22 meV per atom
VASP energy ... -66.0 eV per cell

Cell: 4.608 4.417 8.538 Å, 90.02 89.98 101.00°
Sites, in units of the cell vectors:
Pt (0.258, 0.362, 0.923)
Pt (0.697, 0.926, 0.953)
Pt (0.699, 0.926, 0.452)
Pt (0.259, 0.362, 0.481)
Pt (0.084, 0.059, 0.202)
Pt (0.306, 0.860, 0.702)
Be (0.171, 0.830, 0.432)
Be (0.169, 0.829, 0.971)
Y (0.759, 0.432, 0.702)
Y (0.669, 0.456, 0.202)

Which formula does entry 1 have? La3MgSc

What is the VASP energy in the first record? -45.1 eV per cell